[1]
DFT (GGA-PBE) results for a geometry-optimized YP3O9 structure.

Computed properties:
The raw formation energy is -32.89 eV/f.u. For the energy above the lowest structure with this stoichiometry, the calculation gives 1 meV per atom. Its volume is 15.0 Å³/atom. The calculation puts the total magnetization at 0.00 μB/atom. Its space group is P2_1/m (11). As for the electronic total energy: -7.708 eV per atom.

The structure in POSCAR format:
```
YP3O9
1.0
7.1027 0.0000 0.0000
0.0000 9.8047 0.0000
-0.4346 0.0000 11.1656
Y P O
4 12 36
Cartesian
1.0810 2.4512 5.1540
1.7679 2.4512 10.9352
4.9001 7.3535 0.2304
5.5871 7.3535 6.0116
1.2436 7.3535 1.1620
1.8141 0.1062 2.5754
1.8141 4.7962 2.5754
1.9213 7.3535 6.9850
1.9943 0.3259 7.9920
1.9943 4.5764 7.9920
4.6738 5.2283 3.1736
4.6738 9.4788 3.1736
4.7467 2.4512 4.1806
4.8540 5.0086 8.5902
4.8540 9.6985 8.5902
5.4245 2.4512 10.0036
0.0824 7.3535 0.2147
0.7521 7.3535 6.0422
0.9650 0.8470 3.5623
0.9650 4.0553 3.5623
1.0212 6.1296 2.1941
1.0212 8.5775 2.1941
1.3702 0.9016 6.7566
1.3702 4.0007 6.7566
1.6038 0.8757 9.3277
1.6038 4.0267 9.3277
1.7573 6.1586 8.0603
1.7573 8.5484 8.0603
2.2674 0.8338 1.3407
2.2674 4.0686 1.3407
2.6440 7.3535 0.6241
3.0818 5.3831 3.3825
3.0818 9.3240 3.3825
3.3599 2.4512 4.7520
3.3081 7.3535 6.4137
3.5863 0.4808 7.7832
3.5863 4.4216 7.7832
4.0241 2.4512 10.5416
4.4007 5.7361 9.8249
4.4007 8.9709 9.8249
4.9107 1.2563 3.1054
4.9107 3.6461 3.1054
5.0643 5.7780 1.8379
5.0643 8.9290 1.8379
5.2979 5.8040 4.4091
5.2979 8.9031 4.4091
5.6468 1.2272 8.9716
5.6468 3.6751 8.9716
5.7031 5.7494 7.6033
5.7031 8.9577 7.6033
5.9159 2.4512 5.1234
6.5857 2.4512 10.9509
```

***

[2]
DFT (GGA-PBE) results for a geometry-optimized YP3O structure.

Computed properties:
The raw formation energy is -1.64 eV/f.u. For the energy above the lowest structure with this stoichiometry, the calculation gives 0 meV per atom. Its volume is 15.7 Å³/atom. The calculation puts the total magnetization at 0.00 μB/atom. Its space group is Pm-3m (221). As for the electronic total energy: -5.858 eV per atom.

The structure in POSCAR format:
```
YP3O
1.0
4.2813 0.0000 0.0000
0.0000 4.2813 0.0000
0.0000 0.0000 4.2813
Y P O
1 3 1
Cartesian
0.0000 0.0000 0.0000
0.0000 2.1407 2.1407
2.1407 0.0000 2.1407
2.1407 2.1407 0.0000
2.1407 2.1407 2.1407
```

***

[3]
DFT (GGA-PBE) results for a geometry-optimized Y6PO12 structure.

Computed properties:
The raw formation energy is -59.09 eV/f.u. Its volume is 13.3 Å³/atom. The calculation puts the total magnetization at 0.06 μB/atom. Its space group is R-3 (148). As for the electronic total energy: -8.567 eV per atom.

The structure in POSCAR format:
```
Y6PO12
1.0
4.8583 2.8049 3.0828
-4.8583 2.8049 3.0828
0.0000 -5.6099 3.0828
Y P O
6 1 12
Cartesian
-2.6031 -2.4137 4.7877
-3.3918 1.0475 4.4606
0.7888 -3.4612 4.4606
-0.7888 3.4612 4.7877
3.3918 -1.0475 4.7877
2.6031 2.4137 4.4606
0.0000 0.0000 4.6242
-1.2721 -3.9882 3.9723
-4.0899 -0.8924 5.2760
-1.4362 -0.3240 3.6544
-2.8178 3.0958 3.9724
0.9987 -1.0818 3.6544
-0.4376 -1.4058 5.5940
0.4375 1.4058 3.6544
-0.9987 1.0818 5.5940
2.8178 -3.0958 5.2760
1.4362 0.3240 5.5940
4.0899 0.8924 3.9723
1.2721 3.9882 5.2760
```

***

[4]
DFT (GGA-PBE) results for a geometry-optimized Y12P3O5 structure.

Computed properties:
The raw formation energy is -35.44 eV/f.u. Its volume is 21.4 Å³/atom. The calculation puts the total magnetization at 0.01 μB/atom. Its space group is Ia-3d (230). As for the electronic total energy: -7.701 eV per atom.

The structure in POSCAR format:
```
Y12P3O5
1.0
-7.5339 7.5339 7.5339
7.5339 -7.5339 7.5339
7.5339 7.5339 -7.5339
Y P O
48 12 20
Cartesian
2.2728 -0.5244 0.8220
9.0281 4.5889 -4.2914
9.8067 0.5244 0.8220
9.0281 -2.9450 4.2914
7.0095 -0.8220 2.2728
11.8253 -1.4942 2.9450
0.8220 2.2728 -0.5244
10.4789 3.2425 -1.4942
4.5889 4.2914 -1.4942
6.7120 2.2728 0.5244
-0.5244 0.8220 2.2728
4.2914 -1.4942 4.5889
7.0095 6.7120 -2.2728
4.2914 1.4942 2.9450
4.5889 -4.2914 9.0281
6.7120 -2.2728 7.0095
2.9450 4.2914 1.4942
8.3559 5.2611 0.5244
4.2914 9.0281 -2.9450
7.0095 0.8220 5.2611
2.2728 7.0095 -0.8220
9.0281 2.9450 3.2425
1.4942 2.9450 4.2914
2.2728 0.5244 6.7120
5.2611 7.0095 0.8220
6.0397 4.5889 3.2425
-1.4942 4.5889 4.2914
5.2611 0.5244 8.3559
0.5244 6.7120 2.2728
3.2425 -1.4942 10.4789
-0.8220 2.2728 7.0095
4.5889 3.2425 6.0397
0.8220 9.8067 0.5244
2.9450 11.8253 -1.4942
3.2425 6.0397 4.5889
0.5244 0.8220 9.8067
3.2425 9.0281 2.9450
8.0584 6.7120 5.2611
0.8220 5.2611 7.0095
2.9450 3.2425 9.0281
-2.9450 4.2914 9.0281
6.7120 5.2611 8.0584
-4.2914 9.0281 4.5889
0.5244 8.3559 5.2611
-1.4942 10.4789 3.2425
-2.2728 7.0095 6.7120
-1.4942 2.9450 11.8253
5.2611 8.0584 6.7120
3.7670 1.8835 0.0000
7.5339 3.7670 -1.8835
1.8835 0.0000 3.7670
9.4174 0.0000 3.7670
0.0000 3.7670 1.8835
3.7670 -1.8835 7.5339
3.7670 9.4174 0.0000
7.5339 3.7670 5.6504
-1.8835 7.5339 3.7670
5.6504 7.5339 3.7670
0.0000 3.7670 9.4174
3.7670 5.6504 7.5339
0.0000 0.0000 0.0000
3.7670 3.7670 -3.7670
3.7670 -3.7670 3.7670
7.5339 0.0000 0.0000
11.3009 1.8835 0.0000
7.5339 -3.7670 5.6504
5.6504 7.5339 -3.7670
5.6504 0.0000 3.7670
3.7670 5.6504 0.0000
7.5339 3.7670 1.8835
-3.7670 3.7670 3.7670
0.0000 7.5339 0.0000
0.0000 0.0000 7.5339
3.7670 3.7670 3.7670
0.0000 3.7670 5.6504
3.7670 1.8835 7.5339
1.8835 7.5339 3.7670
1.8835 0.0000 11.3009
0.0000 11.3009 1.8835
-3.7670 5.6504 7.5339
```

***

[5]
DFT (GGA-PBE) results for a geometry-optimized YP3O structure.

Computed properties:
The raw formation energy is 6.90 eV/f.u. For the energy above the lowest structure with this stoichiometry, the calculation gives 1708 meV per atom. Its volume is 29.0 Å³/atom. The calculation puts the total magnetization at 0.00 μB/atom. Its space group is Pm-3m (221). As for the electronic total energy: -4.150 eV per atom.

The structure in POSCAR format:
```
YP3O
1.0
5.2528 0.0000 0.0000
0.0000 5.2528 0.0000
0.0000 0.0000 5.2528
Y P O
1 3 1
Cartesian
0.0000 0.0000 0.0000
0.0000 0.0000 2.6264
0.0000 2.6264 0.0000
2.6264 0.0000 0.0000
2.6264 2.6264 2.6264
```

***

[6]
DFT (GGA-PBE) results for a geometry-optimized YP2O2 structure.

Computed properties:
The raw formation energy is -2.00 eV/f.u. For the energy above the lowest structure with this stoichiometry, the calculation gives 951 meV per atom. Its volume is 21.6 Å³/atom. The calculation puts the total magnetization at 0.35 μB/atom. Its space group is P4/mmm (123). As for the electronic total energy: -5.840 eV per atom.

The structure in POSCAR format:
```
YP2O2
1.0
4.1469 0.0000 0.0000
0.0000 4.1469 0.0000
0.0000 0.0000 6.2846
Y P O
1 2 2
Cartesian
0.0000 0.0000 0.0000
0.0000 0.0000 3.1423
2.0735 2.0735 3.1423
0.0000 2.0735 0.0000
2.0735 0.0000 0.0000
```